A plane-wave DFT calculation with PBE with a Hubbard U was carried out for an optimized crystal structure of Sr3CaMn2FeO10.

Unit cell a=14.2791 b=14.2791 c=14.2791 alpha=164.44 beta=164.44 gamma=22.08
Fractional positions:
Sr (0.7009, 0.7009, 0.0000)
Sr (0.2979, 0.2979, 0.0000)
Sr (0.4312, 0.4312, 0.0000)
O (0.0709, 0.0709, 0.0000)
O (0.8615, 0.3615, 0.5000)
O (0.2081, 0.2081, 0.0000)
O (0.0027, 0.5027, 0.5000)
O (0.7906, 0.7906, 0.0000)
O (0.5027, 0.0027, 0.5000)
O (0.1362, 0.6362, 0.5000)
O (0.3615, 0.8615, 0.5000)
O (0.9301, 0.9301, 0.0000)
O (0.6362, 0.1362, 0.5000)
Ca (0.5692, 0.5692, 0.0000)
Fe (0.0012, 0.0012, 0.0000)
Mn (0.8599, 0.8599, 0.0000)
Mn (0.1392, 0.1392, 0.0000)

Properties
Space-group type = No. 107
Size of the total moment = 10.954 μB per formula unit
Theoretical density = 5.0 g/cm3
Total DFT energy (no corrections) = -112.9 eV/cell